(1)
# Ac8Ge3PbI4 | Alexandria via LeMat-Bulk | PBE-GGA | optimized geometry
# E_form (uncorrected)   -15.28 eV per formula unit
# Total magnetization   0.00 μB per formula unit
data_Ac8Ge3PbI4
_chemical_formula_sum 'Ac24 Ge9 Pb3 I12'
_cell_length_a 9.4413
_cell_length_b 9.4413
_cell_length_c 23.9355
_cell_angle_alpha 90.00
_cell_angle_beta 90.00
_cell_angle_gamma 120.00
_symmetry_space_group_name_H-M 'R -3 m'
_symmetry_Int_Tables_number 166
_symmetry_space_group_name_Hall '-R 3 2"'
loop_
_atom_site_label
_atom_site_fract_x
_atom_site_fract_y
_atom_site_fract_z
Ac1 0.0000 0.0000 0.2339
Ac2 0.0140 0.5070 0.7638
Ge1 0.0000 0.5000 0.5000
Pb1 0.0000 0.0000 0.5000
I1 0.0000 0.0000 0.0000
I2 0.0000 0.5000 0.0000

(2)
# Ac6Ge2Pb3I | Alexandria via LeMat-Bulk | PBE-GGA | optimized geometry
# E_form (uncorrected)   -7.68 eV per formula unit
# Total magnetization   0.00 μB per formula unit
data_Ac6Ge2Pb3I
_chemical_formula_sum 'Ac12 Ge4 Pb6 I2'
_cell_length_a 21.230
_cell_length_b 4.730
_cell_length_c 9.659
_cell_angle_alpha 90.00
_cell_angle_beta 108.34
_cell_angle_gamma 90.00
_symmetry_space_group_name_H-M 'C 1 2/m 1'
_symmetry_Int_Tables_number 12
_symmetry_space_group_name_Hall '-C 2y'
loop_
_atom_site_label
_atom_site_fract_x
_atom_site_fract_y
_atom_site_fract_z
Ac1 0.011 0.000 0.267
Ac2 0.170 0.500 0.102
Ac3 0.174 0.500 0.565
Ge1 0.166 0.000 0.325
Pb1 0.000 0.500 0.500
Pb2 0.159 0.000 0.826
I1 0.000 0.500 0.000

(3)
# Ac6Ge2PbI3 | Alexandria via LeMat-Bulk | PBE-GGA | optimized geometry
# E_form (uncorrected)   -11.31 eV per formula unit
# Total magnetization   0.00 μB per formula unit
data_Ac6Ge2PbI3
_chemical_formula_sum 'Ac12 Ge4 Pb2 I6'
_cell_length_a 21.002
_cell_length_b 4.727
_cell_length_c 9.674
_cell_angle_alpha 90.00
_cell_angle_beta 104.55
_cell_angle_gamma 90.00
_symmetry_space_group_name_H-M 'C 1 2/m 1'
_symmetry_Int_Tables_number 12
_symmetry_space_group_name_Hall '-C 2y'
loop_
_atom_site_label
_atom_site_fract_x
_atom_site_fract_y
_atom_site_fract_z
Ac1 0.015 0.000 0.245
Ac2 0.164 0.500 0.122
Ac3 0.178 0.500 0.561
Ge1 0.168 0.000 0.338
Pb1 0.000 0.500 0.000
I1 0.000 0.500 0.500
I2 0.164 0.000 0.834

(4)
# Ac4GePbI2 | Alexandria via LeMat-Bulk | PBE-GGA | optimized geometry
# E_form (uncorrected)   -7.23 eV per formula unit
# Total magnetization   0.00 μB per formula unit
data_Ac4GePbI2
_chemical_formula_sum 'Ac4 Ge1 Pb1 I2'
_cell_length_a 8.306
_cell_length_b 4.780
_cell_length_c 8.370
_cell_angle_alpha 90.00
_cell_angle_beta 109.34
_cell_angle_gamma 90.00
_symmetry_space_group_name_H-M 'P 1 2/m 1'
_symmetry_Int_Tables_number 10
_symmetry_space_group_name_Hall '-P 2y'
loop_
_atom_site_label
_atom_site_fract_x
_atom_site_fract_y
_atom_site_fract_z
Ac1 0.209 0.000 0.223
Ac2 0.217 0.500 0.755
Ge1 0.000 0.500 0.000
Pb1 0.000 0.000 0.500
I1 0.500 0.000 0.000
I2 0.500 0.500 0.500

(5)
# Ac8GePd3I4 | Alexandria via LeMat-Bulk | PBE-GGA | optimized geometry
# E_form (uncorrected)   -14.91 eV per formula unit
# Total magnetization   0.00 μB per formula unit
data_Ac8GePd3I4
_chemical_formula_sum 'Ac24 Ge3 Pd9 I12'
_cell_length_a 9.0773
_cell_length_b 9.0773
_cell_length_c 25.4353
_cell_angle_alpha 90.00
_cell_angle_beta 90.00
_cell_angle_gamma 120.00
_symmetry_space_group_name_H-M 'R -3 m'
_symmetry_Int_Tables_number 166
_symmetry_space_group_name_Hall '-R 3 2"'
loop_
_atom_site_label
_atom_site_fract_x
_atom_site_fract_y
_atom_site_fract_z
Ac1 0.0000 0.0000 0.2302
Ac2 0.0076 0.5038 0.7691
Ge1 0.0000 0.0000 0.5000
Pd1 0.0000 0.5000 0.5000
I1 0.0000 0.0000 0.0000
I2 0.0000 0.5000 0.0000

(6)
# Ac4GePdI2 | Alexandria via LeMat-Bulk | PBE-GGA | optimized geometry
# E_form (uncorrected)   -7.51 eV per formula unit
# Total magnetization   0.00 μB per formula unit
data_Ac4GePdI2
_chemical_formula_sum 'Ac4 Ge1 Pd1 I2'
_cell_length_a 8.220
_cell_length_b 4.454
_cell_length_c 8.544
_cell_angle_alpha 90.00
_cell_angle_beta 106.49
_cell_angle_gamma 90.00
_symmetry_space_group_name_H-M 'P 1 2/m 1'
_symmetry_Int_Tables_number 10
_symmetry_space_group_name_Hall '-P 2y'
loop_
_atom_site_label
_atom_site_fract_x
_atom_site_fract_y
_atom_site_fract_z
Ac1 0.220 0.000 0.191
Ac2 0.264 0.500 0.796
Ge1 0.500 0.000 0.000
Pd1 0.000 0.500 0.000
I1 0.000 0.000 0.500
I2 0.500 0.500 0.500

(7)
# Ac8Ge3PtI4 | Alexandria via LeMat-Bulk | PBE-GGA | optimized geometry
# E_form (uncorrected)   -16.38 eV per formula unit
# Total magnetization   0.00 μB per formula unit
data_Ac8Ge3PtI4
_chemical_formula_sum 'Ac24 Ge9 Pt3 I12'
_cell_length_a 9.2706
_cell_length_b 9.2706
_cell_length_c 24.2025
_cell_angle_alpha 90.00
_cell_angle_beta 90.00
_cell_angle_gamma 120.00
_symmetry_space_group_name_H-M 'R -3 m'
_symmetry_Int_Tables_number 166
_symmetry_space_group_name_Hall '-R 3 2"'
loop_
_atom_site_label
_atom_site_fract_x
_atom_site_fract_y
_atom_site_fract_z
Ac1 0.0000 0.0000 0.2353
Ac2 0.0097 0.5048 0.2329
Ge1 0.0000 0.5000 0.5000
Pt1 0.0000 0.0000 0.5000
I1 0.0000 0.0000 0.0000
I2 0.0000 0.5000 0.0000

(8)
# Ac6GePt2I3 | Alexandria via LeMat-Bulk | PBE-GGA | optimized geometry
# E_form (uncorrected)   -13.14 eV per formula unit
# Total magnetization   0.00 μB per formula unit
data_Ac6GePt2I3
_chemical_formula_sum 'Ac12 Ge2 Pt4 I6'
_cell_length_a 7.904
_cell_length_b 13.716
_cell_length_c 8.813
_cell_angle_alpha 90.00
_cell_angle_beta 107.44
_cell_angle_gamma 90.00
_symmetry_space_group_name_H-M 'C 1 2/m 1'
_symmetry_Int_Tables_number 12
_symmetry_space_group_name_Hall '-C 2y'
loop_
_atom_site_label
_atom_site_fract_x
_atom_site_fract_y
_atom_site_fract_z
Ac1 0.220 0.000 0.190
Ac2 0.236 0.328 0.190
Ge1 0.000 0.500 0.000
Pt1 0.000 0.167 0.000
I1 0.000 0.000 0.500
I2 0.000 0.338 0.500